Material: PmAs2WO8
Method: DFT, GGA+U
State: relaxed

**Magnetic moment**: 1.3 μB/f.u.
**DFT total energy**: -81.12 eV for the cell shown
**Fermi-level density of states**: 3.0 states/eV per cell
**Crystal system**: tetragonal

Cell lengths 6.0400, 6.0400, 6.0400 Å; angles 105.78, 105.78, 117.14 degrees
With the nearest neighbours (Å) after each atom.
Atoms (fractional coordinates):
Pm: 0.2500 0.7500 0.5000  8 O 2.39-2.44
O: 0.8934 0.7208 0.1726  1 As 1.88
O: 0.5482 0.7208 0.8274  1 As 1.88
O: 0.7580 0.0750 0.6830  1 As 1.73
O: 0.9250 0.2420 0.3170  1 As 1.73
O: 0.2792 0.4518 0.1726  1 As 1.88
O: 0.3921 0.0750 0.3170  1 As 1.73
O: 0.9250 0.6079 0.6830  1 As 1.73
O: 0.2792 0.1066 0.8274  1 As 1.88
As: 0.7500 0.2500 0.5000  4 O 1.73
As: 0.5000 0.5000 0.0000  4 O 1.88
W: 0.0000 0.0000 0.0000  8 O 2.16-2.36